Version a
The following is a DFT calculation (PBE) of a relaxed structure of GaSi2Sb.

Geometry as POSCAR:
```
GaSi2Sb
1.0
0.000 3.387 3.387
3.387 0.000 3.387
3.387 3.387 0.000
Ga Si Sb
1 2 1
Direct
0.000 0.000 0.000 Ga
0.250 0.250 0.250 Si
0.750 0.750 0.750 Si
0.500 0.500 0.500 Sb
```

Version b
The following is a DFT calculation (PBE) of a relaxed structure of GaSi2Sb.

Geometry as POSCAR:
```
GaSi2Sb
1.0
5.851 0.000 0.000
0.000 5.851 0.000
2.925 2.925 5.864
Si Ga Sb
4 2 2
Direct
0.597 0.125 0.250 Si
0.375 0.403 0.750 Si
0.875 0.847 0.750 Si
0.153 0.625 0.250 Si
0.250 0.750 0.500 Ga
0.500 0.500 0.000 Ga
0.750 0.250 0.500 Sb
0.000 0.000 0.000 Sb
```

Which is more stable than every other structure shown? version b is more stable than every other one.